{"formula": "HfZrSb", "functional": "PBE-GGA", "state": "optimized geometry", "lattice": [[4.104, 0.000, -0.006], [0.000, 4.084, 0.003], [0.030, -0.037, 8.060]], "species": ["Hf", "Zr", "Sb", "Hf", "Sb", "Zr"], "fractional_positions": [[0.750, 0.750, 0.000], [0.252, 0.746, 0.637], [0.751, 0.248, 0.729], [0.250, 0.250, 0.000], [0.249, 0.752, 0.271], [0.748, 0.254, 0.363]], "total_magnetization_mub_per_fu": 0.00, "raw_formation_energy_ev_per_atom": -0.541}